<one>
The following is a PBE calculation of crystalline PaSCl3 at its relaxed geometry, from the Alexandria database.

POSCAR file:
```
PaSCl3
1.0
7.217 0.000 -0.801
0.000 7.411 0.000
-0.150 0.000 13.686
Pa S Cl
4 4 12
Direct
0.088 0.376 0.138 Pa
0.088 0.624 0.638 Pa
0.912 0.376 0.362 Pa
0.912 0.624 0.862 Pa
0.131 0.118 0.289 S
0.869 0.118 0.211 S
0.131 0.882 0.789 S
0.869 0.882 0.711 S
0.635 0.231 0.428 Cl
0.635 0.769 0.928 Cl
0.222 0.438 0.802 Cl
0.136 0.691 0.036 Cl
0.222 0.562 0.302 Cl
0.365 0.769 0.572 Cl
0.864 0.691 0.464 Cl
0.778 0.438 0.698 Cl
0.864 0.309 0.964 Cl
0.778 0.562 0.198 Cl
0.365 0.231 0.072 Cl
0.136 0.309 0.536 Cl
```

Properties
Size of the total moment, μB per cell: 4.02
Crystal system: monoclinic

<two>
The following is a PBE calculation of crystalline PaSCl3 at its relaxed geometry, from the Alexandria database.

POSCAR file:
```
PaSCl3
1.0
7.656 -0.405 0.000
-3.604 6.767 0.000
0.000 0.000 7.471
Pa S Cl
2 2 6
Direct
0.234 0.234 0.250 Pa
0.766 0.766 0.750 Pa
0.000 0.000 0.000 S
0.000 0.000 0.500 S
0.066 0.440 0.250 Cl
0.500 0.500 0.000 Cl
0.934 0.560 0.750 Cl
0.560 0.934 0.750 Cl
0.440 0.066 0.250 Cl
0.500 0.500 0.500 Cl
```

Properties
Size of the total moment, μB per cell: 0.00
Crystal system: orthorhombic

Order from most stable to least stable according to the calculation: <two>, <one>

<one>
The following is a PBE calculation of crystalline PaSbCl at its relaxed geometry, from the Alexandria database.

POSCAR file:
```
PaSbCl
1.0
4.300 0.000 0.320
0.000 4.311 0.000
-0.610 0.000 8.191
Sb Pa Cl
2 2 2
Direct
0.250 0.250 0.362 Sb
0.750 0.750 0.638 Sb
0.250 0.250 0.748 Pa
0.750 0.750 0.252 Pa
0.750 0.250 0.000 Cl
0.250 0.750 0.000 Cl
```

Properties
Size of the total moment, μB per cell: 1.82
Crystal system: tetragonal

<two>
The following is a PBE calculation of crystalline PaSbCl at its relaxed geometry, from the Alexandria database.

POSCAR file:
```
PaSbCl
1.0
4.020 0.000 0.000
0.000 4.712 0.000
0.000 -2.356 4.080
Sb Pa Cl
1 1 1
Direct
0.667 0.667 0.333 Sb
0.167 0.000 0.000 Pa
0.167 0.333 0.667 Cl
```

Properties
Size of the total moment, μB per cell: 0.99
Crystal system: hexagonal

Order from most stable to least stable according to the calculation: <one>, <two>

<one>
The following is a PBE calculation of crystalline ScPaCl6 at its relaxed geometry, from the Alexandria database.

POSCAR file:
```
ScPaCl6
1.0
1.017 -5.353 -3.535
2.603 -2.344 6.209
-6.896 0.962 -1.529
Sc Pa Cl
1 1 6
Direct
0.000 0.000 0.000 Sc
0.500 0.500 0.500 Pa
0.762 0.622 0.908 Cl
0.762 0.908 0.622 Cl
0.238 0.092 0.378 Cl
0.238 0.378 0.092 Cl
0.757 0.246 0.246 Cl
0.243 0.754 0.754 Cl
```

Properties
Size of the total moment, μB per cell: 2.00
Crystal system: monoclinic

<two>
The following is a PBE calculation of crystalline ScPaCl6 at its relaxed geometry, from the Alexandria database.

POSCAR file:
```
ScPaCl6
1.0
6.763 0.007 0.009
3.373 5.861 0.012
3.371 1.947 6.078
Sc Pa Cl
1 1 6
Direct
0.500 0.500 0.500 Sc
0.000 0.000 0.000 Pa
0.124 0.395 0.742 Cl
0.740 0.124 0.741 Cl
0.605 0.260 0.259 Cl
0.260 0.876 0.259 Cl
0.876 0.605 0.258 Cl
0.395 0.740 0.741 Cl
```

Properties
Size of the total moment, μB per cell: 2.00
Crystal system: trigonal

Order from most stable to least stable according to the calculation: <one>, <two>